1.
A geometry-optimized NbVNi2H structure. Source: the Alexandria database, functional PBE.

Cell and atoms, written as POSCAR:
```
NbVNi2H
1.0
3.696 0.000 0.000
0.000 3.696 0.000
0.000 0.000 3.990
H Ni V Nb
1 2 1 1
direct
0.000 0.000 0.000
0.500 0.000 0.000
0.000 0.500 0.000
0.000 0.000 0.500
0.500 0.500 0.500
```

Output
- magnetization (μB per cell) = 0.0
- energy above the lowest structure with this stoichiometry (meV/atom) = 0

2.
A geometry-optimized NbV2NiH structure. Source: the Alexandria database, functional PBE.

Cell and atoms, written as POSCAR:
```
NbV2NiH
1.0
-2.767 0.464 -3.049
1.962 -2.895 -2.222
-1.931 -2.376 1.391
Ni V H Nb
1 2 1 1
direct
0.000 0.000 0.500
0.500 0.000 0.000
0.000 0.500 0.000
0.000 0.000 0.000
0.500 0.500 0.500
```

Output
- magnetization (μB per cell) = 0.0
- energy above the lowest structure with this stoichiometry (meV/atom) = 0

3.
A geometry-optimized NbV2NiH structure. Source: the Alexandria database, functional PBE.

Cell and atoms, written as POSCAR:
```
NbV2NiH
1.0
-2.481 -0.096 2.799
-1.934 -2.645 -1.805
2.270 -2.962 1.909
V Ni Nb H
2 1 1 1
direct
0.000 0.500 0.000
0.500 0.000 0.000
0.500 0.500 0.500
0.000 0.000 0.500
0.000 0.000 0.000
```

Output
- magnetization (μB per cell) = 0.0
- energy above the lowest structure with this stoichiometry (meV/atom) = 37

4.
A geometry-optimized Nb2NiHW structure. Source: the Alexandria database, functional PBE.

Cell and atoms, written as POSCAR:
```
Nb2NiHW
1.0
4.404 0.000 0.000
0.000 4.404 0.000
0.000 0.000 3.397
H Nb W Ni
1 2 1 1
direct
0.000 0.000 0.000
0.000 0.500 0.000
0.500 0.000 0.000
0.500 0.500 0.500
0.000 0.000 0.500
```

Output
- magnetization (μB per cell) = 0.0

| no. | electronic total energy (eV per cell) |
| --- | --- |
| 1 | -34.67 |
| 2 | -37.77 |
| 3 | -37.58 |
| 4 | -42.65 |